# 1
A plane-wave DFT calculation with PBE was carried out for a relaxed structure of NbSiNi.

As for the formation energy without anion corrections: -0.395 eV per atom.

It has space group Imma (No. 74), with a = 4.325 Å, b = 5.459 Å, c = 7.032 Å, α = 90.00°, β = 90.00° and γ = 90.00°. The asymmetric unit holds Nb at (0.000, 0.000, 0.000), Si at (0.000, 0.250, 0.341) and Ni at (0.000, 0.250, 0.667).


# 2
A plane-wave DFT calculation with PBE was carried out for a relaxed structure of PmDy2Pd.

For the calculated formation energy, the calculation gives -412 meV/atom.

It has space group P4/mmm (No. 123), with a = 3.588 Å, b = 3.588 Å, c = 8.551 Å, α = 90.00°, β = 90.00° and γ = 90.00°. The asymmetric unit holds Pm at (0.000, 0.000, 0.000), Dy at (0.500, 0.500, 0.306) and Pd at (0.000, 0.000, 0.500).


Number 1: volume 13.836 A^3/atom. Number 2: volume 27.516 A^3/atom.